No. 1
Computed, not measured: a PBEsol-optimized structure of Al2SbBr at the meta-GGA SCAN level of DFT.

The energy above the most stable polymorph in this dataset comes out at 0.0509 eV per atom. The density of states at the Fermi level is 1.479 states/eV/f.u.

The structure belongs to space group P4/mmm (No. 123); the cell edges are 5.5777, 5.5777 and 3.1005 Å and the angles 90.00°, 90.00° and 90.00°. The inequivalent atoms are Al at (0.0000, 0.5000, 0.0000), Sb at (0.0000, 0.0000, 0.0000) and Br at (0.5000, 0.5000, 0.0000).



No. 2
Computed, not measured: a PBEsol-optimized structure of SiPPdCl2 at the meta-GGA SCAN level of DFT.

The density of states at the Fermi level is 2.956 states/eV/f.u.

The structure belongs to space group P4/mmm (No. 123); the cell edges are 4.6379, 4.6379 and 4.7831 Å and the angles 90.00°, 90.00° and 90.00°. The inequivalent atoms are Si at (0.0000, 0.0000, 0.0000), P at (0.5000, 0.5000, 0.0000), Pd at (0.5000, 0.5000, 0.5000) and Cl at (0.0000, 0.5000, 0.5000).



No. 3
Computed, not measured: a PBEsol-optimized structure of VReO4 at the meta-GGA SCAN level of DFT.

The energy above the most stable polymorph in this dataset comes out at 0.0683 eV per atom. The density of states at the Fermi level is 2.069 states/eV/f.u.

The structure belongs to space group Cmmm (No. 65); the cell edges are 6.6509, 6.7951 and 2.6787 Å and the angles 90.00°, 90.00° and 90.00°. The inequivalent atoms are V at (0.0000, 0.0000, 0.0000), Re at (0.0000, 0.5000, 0.5000), O at (0.0000, 0.2804, 0.0000) and O at (0.2087, 0.0000, 0.5000).



Result set for E_form (uncorrected): 0.053; 0.487; -1.999 eV per atom, one per record in the order listed.
Result set for E: -72.01; -66.71; -125.51 eV per formula unit, one per record in the order listed.